1.
{"formula": "AlIn2Hg2", "functional": "PBE-GGA", "state": "relaxed", "delta_e_f_mev_per_atom": 242.5, "n_ef_per_ev_atom": 0.443, "e_above_lowest_polymorph_ev_per_atom": 0.0996, "lattice": [[-0.5169, 1.3476, 3.8809], [2.8494, -2.7002, 1.3171], [4.4429, 6.0498, -3.7178]], "species": ["Al", "Hg", "Hg", "In", "In"], "fractional_positions": [[0.0000, 0.0000, 0.0000], [0.2500, 0.7500, 0.5000], [0.7500, 0.2500, 0.5000], [0.5953, 0.5953, 0.1907], [0.4047, 0.4047, 0.8093]]}

2.
{"formula": "Nd8Ge5Te", "functional": "PBE-GGA", "state": "relaxed", "n_ef_per_ev_atom": 0.791, "formation_energy_uncorrected_ev_per_atom": -0.887, "lattice": [[-5.0260, -4.4636, 4.3126], [7.4878, -2.4330, 1.3402], [-0.6843, 7.6765, 2.0941]], "species": ["Ge", "Ge", "Te", "Nd", "Nd", "Ge", "Nd", "Nd", "Ge", "Nd", "Nd", "Nd", "Ge", "Nd"], "fractional_positions": [[0.3731, 0.1211, 0.9957], [0.7480, 0.6226, 0.6269], [0.2500, 0.5000, 0.7500], [0.9842, 0.1021, 0.7405], [0.1180, 0.7564, 0.0158], [0.0043, 0.3774, 0.1254], [0.7495, 0.2468, 0.3711], [0.6289, 0.3785, 0.8757], [0.5000, 0.0000, 0.5000], [0.6384, 0.8979, 0.8820], [0.4972, 0.6215, 0.2505], [0.1243, 0.7532, 0.5028], [0.8746, 0.8789, 0.2520], [0.2595, 0.2436, 0.3616]]}

3.
{"formula": "La6Si2Te3Se", "functional": "PBE-GGA", "state": "relaxed", "n_ef_per_ev_atom": 0.417, "formation_energy_uncorrected_ev_per_atom": -1.418, "lattice": [[4.4525, 0.0000, 0.0000], [0.0000, 9.0509, 0.2177], [-2.2263, -2.7176, 9.4613]], "species": ["La", "Se", "Te", "Te", "Te", "La", "Si", "La", "La", "La", "La", "Si"], "fractional_positions": [[0.0087, 0.2435, 0.0175], [0.5000, 0.0000, 0.0000], [0.8357, 0.1662, 0.6713], [0.5000, 0.5000, 0.0000], [0.1643, 0.8338, 0.3287], [0.6645, 0.1027, 0.3290], [0.8345, 0.6698, 0.6690], [0.6727, 0.5682, 0.3453], [0.3273, 0.4318, 0.6547], [0.3355, 0.8973, 0.6710], [0.9913, 0.7565, 0.9825], [0.1655, 0.3302, 0.3310]]}